The following is a PBE+U calculation of crystalline Cr2FeO4 at its relaxed geometry, from Alexandria via LeMat-Bulk.

Cell lengths 6.0000, 6.0005, 6.0708 Å; angles 60.43, 60.43, 90.07 degrees
Last column: nearest neighbours and their distance in Å.
Sites, in units of the cell vectors:
O1 0.7881 0.2658 0.4680  3 Cr 2.03-2.04, 1 Fe 2.04
O2 0.2342 0.7119 0.0320  3 Cr 2.03-2.04, 1 Fe 2.04
O3 0.7561 0.7338 0.5320  3 Cr 2.03-2.04, 1 Fe 2.04
O4 0.2439 0.2663 0.4680  3 Cr 2.03-2.04, 1 Fe 2.04
O5 0.7658 0.2881 0.9680  3 Cr 2.03-2.04, 1 Fe 2.04
O6 0.2337 0.2561 0.0320  3 Cr 2.03-2.04, 1 Fe 2.04
O7 0.2119 0.7342 0.5320  3 Cr 2.03-2.04, 1 Fe 2.04
O8 0.7663 0.7440 0.9680  3 Cr 2.03-2.04, 1 Fe 2.04
Cr1 0.0000 0.5000 0.5000  6 O 2.03-2.04
Cr2 0.0000 0.5000 0.0000  6 O 2.03-2.04
Cr3 0.0000 0.0000 0.5000  6 O 2.03-2.04
Cr4 0.5000 0.5000 0.0000  6 O 2.03-2.04
Fe1 0.6250 0.8750 0.2500  4 O 2.04
Fe2 0.3750 0.1250 0.7500  4 O 2.04

Properties
Space group: Fddd
DOS at the Fermi energy, states/eV per atom: 0.0000
ΔE to the lowest computed polymorph, meV per atom: 0

***

The following is a PBE+U calculation of crystalline CrFeO3 at its relaxed geometry, from Alexandria via LeMat-Bulk.

Cell lengths 3.6871, 3.6871, 3.6871 Å; angles 90.00, 90.00, 90.00 degrees
Last column: nearest neighbours and their distance in Å.
Sites, in units of the cell vectors:
O1 0.0000 0.5000 0.0000  2 Cr 1.84
O2 0.5000 0.0000 0.0000  2 Cr 1.84
O3 0.0000 0.0000 0.5000  2 Cr 1.84
Cr1 0.0000 0.0000 0.0000  6 O 1.84
Fe1 0.5000 0.5000 0.5000  12 O 2.61

Properties
Space group: Pm-3m
DOS at the Fermi energy, states/eV per atom: 1.9662
DFT total energy, eV for the cell shown: -30.62

***

The following is a PBE+U calculation of crystalline CrFe2O4 at its relaxed geometry, from Alexandria via LeMat-Bulk.

Cell lengths 3.0052, 5.5348, 5.2343 Å; angles 65.09, 89.99, 74.24 degrees
Last column: nearest neighbours and their distance in Å.
Sites, in units of the cell vectors:
O1 0.1262 0.7474 0.4182  1 Cr 2.01, 3 Fe 2.01-2.10
O2 0.6311 0.7379 0.9868  1 Fe 2.01, 2 Cr 2.07
O3 0.8738 0.2526 0.5818  1 Cr 2.01, 3 Fe 2.01-2.10
O4 0.3689 0.2621 0.0132  1 Fe 2.01, 2 Cr 2.07
Fe1 0.2918 0.4167 0.3008  4 O 2.01-2.10
Fe2 0.7082 0.5833 0.6992  4 O 2.01-2.10
Cr1 0.0000 0.0000 0.0000  6 O 2.01-2.07

Properties
Space group: C2/m
DOS at the Fermi energy, states/eV per atom: 0.3116
DFT total energy, eV for the cell shown: -49.15

***

The following is a PBE+U calculation of crystalline CrFeO3 at its relaxed geometry, from Alexandria via LeMat-Bulk.

Cell lengths 5.1188, 5.1188, 5.4889 Å; angles 62.21, 117.79, 120.00 degrees
Last column: nearest neighbours and their distance in Å.
Sites, in units of the cell vectors:
O1 0.4469 0.2513 0.2485  2 Fe 1.98-2.15, 2 Cr 2.03-2.04
O2 0.9471 0.4469 0.7515  2 Fe 1.98-2.15, 2 Cr 2.03-2.04
O3 0.7487 0.9471 0.2485  2 Fe 1.98-2.15, 2 Cr 2.03-2.04
O4 0.2513 0.0529 0.7515  2 Fe 1.98-2.15, 2 Cr 2.03-2.04
O5 0.0529 0.5531 0.2485  2 Fe 1.98-2.15, 2 Cr 2.03-2.04
O6 0.5531 0.7487 0.7515  2 Fe 1.98-2.15, 2 Cr 2.03-2.04
Fe1 0.8563 0.1437 0.5690  6 O 1.98-2.15
Fe2 0.1437 0.8563 0.4310  6 O 1.98-2.15
Cr1 0.3464 0.6536 0.0391  6 O 2.03-2.04
Cr2 0.6536 0.3464 0.9609  6 O 2.03-2.04

Properties
Space group: R-3
DOS at the Fermi energy, states/eV per atom: 0.0000
DFT total energy, eV for the cell shown: -73.01

***

The following is a PBE+U calculation of crystalline CrFeO2 at its relaxed geometry, from Alexandria via LeMat-Bulk.

Cell lengths 6.3538, 6.3538, 6.3538 Å; angles 28.20, 28.20, 28.20 degrees
Last column: nearest neighbours and their distance in Å.
Sites, in units of the cell vectors:
Cr1 0.0000 0.0000 0.0000  2 O 2.01
Fe1 0.5000 0.5000 0.5000  6 O 2.07
O1 0.1099 0.1099 0.1099  1 Cr 2.01, 3 Fe 2.07
O2 0.8901 0.8901 0.8901  1 Cr 2.01, 3 Fe 2.07

Properties
Space group: R-3m
DOS at the Fermi energy, states/eV per atom: 0.1715
ΔE to the lowest computed polymorph, meV per atom: 267

***

The following is a PBE+U calculation of crystalline CrFeO2 at its relaxed geometry, from Alexandria via LeMat-Bulk.

Cell lengths 5.4102, 5.4601, 6.7221 Å; angles 100.06, 100.46, 105.45 degrees
Last column: nearest neighbours and their distance in Å.
Sites, in units of the cell vectors:
O1 0.2087 0.4736 0.3924  3 Fe 2.08-2.25, 2 Cr 2.09-2.11
O2 0.6582 0.8962 0.3553  2 Fe 2.06-2.22, 2 Cr 2.10-2.12
O3 0.7913 0.5264 0.6076  3 Fe 2.08-2.25, 2 Cr 2.09-2.11
O4 0.0323 0.7958 0.1089  3 Cr 2.09-2.10, 1 Fe 2.23
O5 0.5703 0.3031 0.1284  3 Fe 2.06-2.23, 1 Cr 2.10
O6 0.9677 0.2042 0.8911  3 Cr 2.09-2.10, 1 Fe 2.23
O7 0.3418 0.1038 0.6447  2 Fe 2.06-2.22, 2 Cr 2.10-2.12
O8 0.4297 0.6968 0.8716  3 Fe 2.06-2.23, 1 Cr 2.10
Cr1 0.0701 0.3199 0.6296  4 O 2.09-2.12
Cr2 0.9299 0.6801 0.3704  4 O 2.09-2.12
Cr3 0.1958 0.9485 0.8807  4 O 2.09-2.10
Cr4 0.8042 0.0515 0.1193  4 O 2.09-2.10
Fe1 0.6901 0.4412 0.8780  4 O 2.08-2.23
Fe2 0.3099 0.5588 0.1220  4 O 2.08-2.23
Fe3 0.4576 0.2026 0.3870  5 O 2.06-2.25
Fe4 0.5424 0.7974 0.6130  5 O 2.06-2.25

Properties
Space group: P-1
ΔE to the lowest computed polymorph, meV per atom: 0

***

The following is a PBE+U calculation of crystalline Cr2FeO4 at its relaxed geometry, from Alexandria via LeMat-Bulk.

Cell lengths 5.0790, 5.0790, 9.8802 Å; angles 90.00, 90.00, 146.29 degrees
Last column: nearest neighbours and their distance in Å.
Sites, in units of the cell vectors:
O1 0.2691 0.7309 0.1117  3 Cr 2.02-2.05
O2 0.2691 0.7309 0.3883  3 Cr 2.02-2.05
O3 0.0000 0.0000 0.0000  4 Cr 2.08
O4 0.4616 0.5384 0.7500  2 Cr 1.98, 2 Fe 2.09
O5 0.5384 0.4616 0.2500  2 Cr 1.98, 2 Fe 2.09
O6 0.7309 0.2691 0.6117  3 Cr 2.02-2.05
O7 0.0000 0.0000 0.5000  4 Cr 2.08
O8 0.7309 0.2691 0.8883  3 Cr 2.02-2.05
Fe1 0.1144 0.8856 0.7500  6 O 2.09-2.31
Fe2 0.8856 0.1144 0.2500  6 O 2.09-2.31
Cr1 0.3670 0.6330 0.9280  6 O 1.98-2.08
Cr2 0.6330 0.3670 0.0720  6 O 1.98-2.08
Cr3 0.3670 0.6330 0.5720  6 O 1.98-2.08
Cr4 0.6330 0.3670 0.4280  6 O 1.98-2.08

Properties
Space group: Cmcm
ΔE to the lowest computed polymorph, meV per atom: 124

***

The following is a PBE+U calculation of crystalline CrFeO2 at its relaxed geometry, from Alexandria via LeMat-Bulk.

Cell lengths 4.5714, 4.5714, 5.7006 Å; angles 66.36, 66.36, 90.00 degrees
Last column: nearest neighbours and their distance in Å.
Sites, in units of the cell vectors:
O1 0.8750 0.8592 0.7500  2 Cr 1.96, 2 Fe 2.04
O2 0.6092 0.1250 0.2500  2 Cr 1.96, 2 Fe 2.04
O3 0.3750 0.3908 0.7500  2 Cr 1.96, 2 Fe 2.04
O4 0.1408 0.6250 0.2500  2 Cr 1.96, 2 Fe 2.04
Cr1 0.2500 0.7500 0.5000  4 O 1.96
Cr2 0.5000 0.5000 0.0000  4 O 1.96
Fe1 0.7500 0.2500 0.5000  4 O 2.04
Fe2 0.0000 0.0000 0.0000  4 O 2.04

Properties
Space group: I-42d
DOS at the Fermi energy, states/eV per atom: 0.4546
ΔE to the lowest computed polymorph, meV per atom: 1304